# 1
ZrTiNF2: relaxed, PBE.

Results
Space-group type: P4/mmm (123)
E_form (uncorrected) (meV/atom): -1472
Crystal system: tetragonal

Cell lengths 3.914, 3.914, 4.183 Å; angles 90.00, 90.00, 90.00 degrees
Sites, in units of the cell vectors:
Ti: 0.000 0.000 0.000
Zr: 0.500 0.500 0.500
F: 0.500 0.000 0.000
F: 0.000 0.500 0.000
N: 0.000 0.000 0.500

# 2
Cs3Np2USe6: relaxed, PBE.

Results
Space-group type: C2/m (12)
E_form (uncorrected) (meV/atom): -1223
Crystal system: monoclinic

Cell lengths 7.449, 7.449, 8.767 Å; angles 98.13, 98.13, 120.00 degrees
Sites, in units of the cell vectors:
Se: 0.062 0.392 0.186
Se: 0.732 0.732 0.186
Cs: 0.167 0.833 0.500
Cs: 0.500 0.500 0.500
Se: 0.608 0.938 0.814
Se: 0.392 0.062 0.186
U: 0.000 0.000 0.000
Cs: 0.833 0.167 0.500
Se: 0.268 0.268 0.814
Np: 0.667 0.333 0.000
Np: 0.333 0.667 0.000
Se: 0.938 0.608 0.814

# 3
Th4MgPt15: relaxed, PBE.

Results
Space-group type: P4/mmm (123)
DFT formation energy (eV per atom): -1.01
Crystal system: tetragonal

Cell lengths 4.206, 4.206, 20.739 Å; angles 90.00, 90.00, 90.00 degrees
Sites, in units of the cell vectors:
Pt: 0.000 0.500 0.295
Pt: 0.500 0.500 0.601
Pt: 0.500 0.000 0.090
Th: 0.000 0.000 0.604
Mg: 0.000 0.000 0.000
Pt: 0.000 0.500 0.500
Th: 0.000 0.000 0.396
Pt: 0.000 0.500 0.705
Pt: 0.000 0.500 0.910
Pt: 0.500 0.500 0.399
Pt: 0.500 0.500 0.806
Pt: 0.500 0.000 0.910
Pt: 0.500 0.000 0.500
Th: 0.000 0.000 0.811
Pt: 0.500 0.000 0.295
Pt: 0.500 0.000 0.705
Pt: 0.500 0.500 0.194
Pt: 0.000 0.500 0.090
Th: 0.000 0.000 0.189
Pt: 0.500 0.500 0.000

# 4
BaPa3Ag4O12: relaxed, PBE.

Results
Space-group type: R32 (155)
E_form (uncorrected) (meV/atom): -2087
Crystal system: trigonal

Cell lengths 7.494, 7.494, 7.494 Å; angles 106.29, 106.29, 106.29 degrees
Sites, in units of the cell vectors:
O: 0.351 0.002 0.269
Ag: 0.904 0.096 0.500
O: 0.678 0.500 0.322
O: 0.649 0.731 0.998
Ag: 0.096 0.500 0.904
O: 0.104 0.896 0.500
Pa: 0.000 0.565 0.435
Pa: 0.565 0.435 0.000
O: 0.322 0.678 0.500
Pa: 0.435 0.000 0.565
O: 0.269 0.351 0.002
O: 0.500 0.104 0.896
O: 0.500 0.322 0.678
O: 0.731 0.998 0.649
Ag: 0.500 0.904 0.096
O: 0.002 0.269 0.351
O: 0.896 0.500 0.104
Ba: 0.000 0.000 0.000
Ag: 0.500 0.500 0.500
O: 0.998 0.649 0.731

What did the third record say?
Th4MgPt15: relaxed, PBE.

Results
Space-group type: P4/mmm (123)
DFT formation energy (eV per atom): -1.01
Crystal system: tetragonal

Cell lengths 4.206, 4.206, 20.739 Å; angles 90.00, 90.00, 90.00 degrees
Sites, in units of the cell vectors:
Pt: 0.000 0.500 0.295
Pt: 0.500 0.500 0.601
Pt: 0.500 0.000 0.090
Th: 0.000 0.000 0.604
Mg: 0.000 0.000 0.000
Pt: 0.000 0.500 0.500
Th: 0.000 0.000 0.396
Pt: 0.000 0.500 0.705
Pt: 0.000 0.500 0.910
Pt: 0.500 0.500 0.399
Pt: 0.500 0.500 0.806
Pt: 0.500 0.000 0.910
Pt: 0.500 0.000 0.500
Th: 0.000 0.000 0.811
Pt: 0.500 0.000 0.295
Pt: 0.500 0.000 0.705
Pt: 0.500 0.500 0.194
Pt: 0.000 0.500 0.090
Th: 0.000 0.000 0.189
Pt: 0.500 0.500 0.000